LiRhO3: relaxed, PBE-GGA.

extended XYZ file:
```
5
Lattice="-3.0008 -1.4412 -2.0650 0.2008 -3.4051 1.9264 -2.5615 1.2685 2.6788" Properties=species:S:1:pos:R:3 pbc="T T T"
Rh -1.3006 -0.8679 0.6162
O -2.3138 0.0753 1.8930
Li -4.4143 -2.9458 2.0914
O -0.8117 -2.4662 1.4839
O -2.5527 -1.3982 -0.6867
```

Summary:
- volume (Å³/cell) = 60
- formation energy from raw total energies (eV per formula unit) = -3.8


LaSiHg2: relaxed, PBE-GGA.

extended XYZ file:
```
4
Lattice="-4.1960 -3.4541 2.5445 -2.4073 -5.3379 -1.3127 0.0329 -5.3861 2.6457" Properties=species:S:1:pos:R:3 pbc="T T T"
Hg -0.1513 -0.3266 0.0893
La -1.6426 -3.5445 0.9694
Hg -3.1339 -6.7625 1.8494
Si -4.9278 -10.6336 2.9081
```

Summary:
- volume (Å³/cell) = 101
- formation energy from raw total energies (eV per formula unit) = -0.9


K2SrBe2O4: relaxed, PBE-GGA.

extended XYZ file:
```
9
Lattice="-1.0170 0.8679 -3.0317 -6.7061 -0.2828 2.1687 3.7105 5.1654 2.0447" Properties=species:S:1:pos:R:3 pbc="T T T"
K -1.0315 4.4941 -0.1781
O -5.4951 0.6692 0.2243
O 1.4825 5.0813 0.9573
K -2.9811 1.2564 1.3597
Be -5.7360 2.1283 0.7228
Be 1.7233 3.6222 0.4588
Sr 0.0000 0.0000 0.0000
O -4.6925 3.3591 0.7251
O 0.6799 2.3914 0.4565
```

Summary:
- volume (Å³/cell) = 133
- formation energy from raw total energies (eV per formula unit) = -19.2


CdGaBi3: relaxed, PBE-GGA.

extended XYZ file:
```
5
Lattice="5.5391 0.0000 0.0000 0.0000 5.5391 0.0000 0.0000 0.0000 5.5391" Properties=species:S:1:pos:R:3 pbc="T T T"
Ga 0.0000 0.0000 0.0000
Cd 2.7695 2.7695 2.7695
Bi 2.7695 0.0000 0.0000
Bi 0.0000 2.7695 0.0000
Bi 0.0000 0.0000 2.7695
```

Summary:
- volume (Å³/cell) = 170
- offset from the most stable computed form (eV/atom) = 0.0000


KNa2Sc: relaxed, PBE-GGA.

extended XYZ file:
```
4
Lattice="1.7317 -5.4610 -1.8074 1.1084 -4.2938 4.0524 -3.7445 -4.6674 0.5314" Properties=species:S:1:pos:R:3 pbc="T T T"
K 0.0000 0.0000 0.0000
Na -0.2261 -3.6056 0.6941
Sc -0.4522 -7.2111 1.3883
Na -0.6783 -10.8167 2.0824
```

Summary:
- volume (Å³/cell) = 153
- offset from the most stable computed form (eV/atom) = 0.0942


ZnAg2Pd6: relaxed, PBE-GGA.

extended XYZ file:
```
9
Lattice="-0.7361 0.5266 -2.6097 -0.5225 -7.5546 -1.3771 -6.0404 3.6248 3.9161" Properties=species:S:1:pos:R:3 pbc="T T T"
Ag -4.5258 0.0758 1.3015
Pd -0.5182 -1.9080 -1.7007
Ag -2.7732 -3.4789 -1.3722
Pd -4.9901 -2.0857 -0.4632
Zn 0.0000 0.0000 0.0000
Pd -0.7404 -5.1199 -2.2862
Pd -2.6441 -6.1637 -0.4910
Pd -2.3089 -1.3175 0.3924
Pd -4.6549 2.7606 0.4203
```

Summary:
- volume (Å³/cell) = 148
- offset from the most stable computed form (eV/atom) = 0.0065


CeErPu2: relaxed, PBE-GGA.

extended XYZ file:
```
4
Lattice="3.3896 0.0000 0.0000 1.6948 2.9355 0.0000 1.6948 0.9785 10.9218" Properties=species:S:1:pos:R:3 pbc="T T T"
Pu 1.6948 0.9785 2.8447
Pu 5.0844 2.9355 8.0771
Ce 3.3896 1.9570 5.4609
Er 0.0000 0.0000 0.0000
```

Summary:
- volume (Å³/cell) = 109
- offset from the most stable computed form (eV/atom) = 0.0289


TiCu2Ni2: relaxed, PBE-GGA.

extended XYZ file:
```
10
Lattice="-1.3936 -6.5039 -1.4707 3.7376 0.4823 -5.6748 2.1858 -0.7789 1.3734" Properties=species:S:1:pos:R:3 pbc="T T T"
Ni 1.1453 -5.3504 -4.8571
Cu 3.3498 -1.1453 -3.3338
Cu 1.2457 -2.4847 -0.7447
Ni 2.7346 -1.9832 -5.4770
Cu 3.2841 -4.3158 -5.0274
Ni -0.3907 -4.0383 -1.6685
Ti 0.0000 0.0000 0.0000
Ti 1.1720 -3.0108 -3.5728
Ni 1.1987 -0.6712 -2.2884
Cu 1.1799 -5.6552 -2.4383
```

Summary:
- volume (Å³/cell) = 125
- offset from the most stable computed form (eV/atom) = 0.1763


AcLa2Hg3: relaxed, PBE-GGA.

extended XYZ file:
```
6
Lattice="3.9630 0.0000 0.0000 0.0000 3.9630 0.0000 0.0000 0.0000 11.8345" Properties=species:S:1:pos:R:3 pbc="T T T"
La 1.9815 1.9815 9.9139
Hg 0.0000 0.0000 8.0183
Ac 1.9815 1.9815 5.9172
Hg 0.0000 0.0000 3.8162
Hg 0.0000 0.0000 0.0000
La 1.9815 1.9815 1.9206
```

Summary:
- volume (Å³/cell) = 186
- raw total energy (Ry per atom) = -0.218


TiAlIr: relaxed, PBE-GGA.

extended XYZ file:
```
3
Lattice="-1.1766 -2.1643 1.4685 3.0394 0.3843 3.0018 -3.6519 2.2222 0.3490" Properties=species:S:1:pos:R:3 pbc="T T T"
Ti -1.1327 -2.0835 1.4137
Al 0.2974 0.0558 2.7560
Ir -2.1304 0.3056 2.1180
```

Summary:
- volume (Å³/cell) = 46
- raw total energy (Ry per atom) = -0.554


SmErTm4: relaxed, PBE-GGA.

extended XYZ file:
```
6
Lattice="6.5152 0.0000 0.0000 3.2576 5.6423 0.0000 3.2576 1.8808 5.3196" Properties=species:S:1:pos:R:3 pbc="T T T"
Tm 4.8819 4.7045 3.3266
Tm 6.5152 1.8756 3.3266
Er 0.0000 0.0000 0.0000
Tm 8.1485 4.7045 3.3266
Tm 6.5152 3.7615 0.6594
Sm 3.2576 1.8808 1.3299
```

Summary:
- volume (Å³/cell) = 196
- offset from the most stable computed form (eV/atom) = 0.1167


Pm5YHg6: relaxed, PBE-GGA.

extended XYZ file:
```
12
Lattice="-4.8477 -1.7441 -1.4485 -1.6600 -1.4649 7.3192 -5.3671 6.5645 0.0966" Properties=species:S:1:pos:R:3 pbc="T T T"
Hg -7.0626 -0.4096 4.3330
Pm -6.8101 3.2138 -0.9012
Y 0.0000 0.0000 0.0000
Pm -3.4048 1.6065 -0.4506
Hg -2.8293 -1.2298 1.0631
Pm -0.8300 -0.7325 3.6596
Hg -3.6785 -1.9792 4.8076
Hg -6.2220 0.3321 0.6275
Hg -4.8123 3.7650 1.6343
Pm -4.2437 0.8966 3.2114
Pm -7.6312 2.4588 2.7558
Hg -5.6529 3.0234 5.3398
```

Summary:
- volume (Å³/cell) = 329
- raw total energy (Ry per atom) = -0.231